Crystalline Be2TlCd2 at its relaxed geometry. Source: Alexandria, functional PBE.

The calculation puts the total magnetization at 0.000 μB/atom. For the calculated formation energy, the calculation gives 0.39 eV per atom. For the total energy, the calculation gives -0.0715 Ha/atom. The calculation puts the density of states at the Fermi level at 4.21 states/eV per cell.

The structure belongs to space group I4/mmm (No. 139); the cell edges are 3.223, 3.223 and 18.055 Å and the angles 90.00°, 90.00° and 90.00°. The inequivalent atoms are Be at (0.000, 0.500, 0.250), Tl at (0.000, 0.000, 0.000) and Cd at (0.000, 0.000, 0.366).